# 1
This record from Alexandria describes VP2PdCl after structural relaxation. The functional is PBE-GGA.

Lattice parameters (Å, degrees): 4.542 4.542 4.618 90.00 90.00 90.00
Sites, in units of the cell vectors:
P 0.000 0.500 0.000
P 0.500 0.000 0.000
Cl 0.000 0.000 0.500
Pd 0.500 0.500 0.500
V 0.000 0.000 0.000

Calculated values
**Total moment**: 0.00 μB per formula unit

=====

# 2
This record from Alexandria describes YP2PdCl after structural relaxation. The functional is PBE-GGA.

Lattice parameters (Å, degrees): 4.683 4.683 4.846 90.00 90.00 90.00
Sites, in units of the cell vectors:
Y 0.500 0.500 0.500
P 0.000 0.500 0.000
P 0.500 0.000 0.000
Pd 0.000 0.000 0.000
Cl 0.000 0.000 0.500

Calculated values
**Total moment**: 0.00 μB per formula unit

=====

no.,DOS(E_F) (states/eV per cell),formation energy (no corrections) (eV/atom),energy above the lowest structure with this stoichiometry (meV/atom)
1,3.43,0.31,0.0
2,2.19,-0.25,0.0